1.
Here is crystalline Li2HfCl6 at its relaxed geometry from the Open Quantum Materials Database. Energies are from PBE-GGA.

Summary:
- Crystal system: orthorhombic
- Uncorrected energy: -82.70 eV per cell

Lattice parameters (Å, degrees): 6.348 5.999 12.497 90.00 120.52 90.00
Fractional coordinates of all 18 atoms:
Cl: 0.180 0.772 0.000
Cl: 0.498 0.234 0.161
Cl: 0.825 0.767 0.162
Cl: 0.175 0.267 0.338
Cl: 0.502 0.734 0.339
Cl: 0.820 0.272 0.500
Cl: 0.180 0.728 0.500
Cl: 0.498 0.266 0.661
Cl: 0.825 0.733 0.662
Cl: 0.175 0.233 0.838
Cl: 0.502 0.766 0.839
Cl: 0.820 0.228 0.000
Hf: 0.500 0.000 0.000
Hf: 0.500 0.500 0.500
Li: 0.176 0.000 0.176
Li: 0.824 0.500 0.324
Li: 0.176 0.500 0.676
Li: 0.824 0.000 0.824



2.
Here is crystalline HfNCl at its relaxed geometry from the Open Quantum Materials Database. Energies are from PBE-GGA.

Summary:
- Crystal system: trigonal
- Uncorrected energy: -18.99 eV per cell

Lattice parameters (Å, degrees): 5.771 5.771 5.771 33.46 33.46 33.46
Fractional coordinates of all 3 atoms:
Cl: 0.451 0.451 0.451
Hf: 0.666 0.666 0.666
N: 0.553 0.553 0.553



3.
Here is crystalline Na2HfCl6 at its relaxed geometry from the Open Quantum Materials Database. Energies are from PBE-GGA.

Summary:
- Crystal system: monoclinic
- Uncorrected energy: -80.66 eV per cell

Lattice parameters (Å, degrees): 6.699 7.036 11.919 90.00 121.32 90.00
Fractional coordinates of all 18 atoms:
Cl: 0.348 0.310 0.056
Cl: 0.248 0.785 0.087
Cl: 0.063 0.431 0.219
Cl: 0.937 0.931 0.281
Cl: 0.752 0.285 0.413
Cl: 0.652 0.810 0.444
Cl: 0.348 0.190 0.556
Cl: 0.248 0.715 0.587
Cl: 0.063 0.069 0.719
Cl: 0.937 0.569 0.781
Cl: 0.752 0.215 0.913
Cl: 0.652 0.690 0.944
Hf: 0.000 0.500 0.000
Hf: 0.000 0.000 0.500
Na: 0.683 0.587 0.228
Na: 0.317 0.087 0.272
Na: 0.683 0.913 0.728
Na: 0.317 0.413 0.772



4.
Here is crystalline Sm3HfCl at its relaxed geometry from the Open Quantum Materials Database. Energies are from PBE-GGA.

Summary:
- Crystal system: cubic
- Uncorrected energy: -27.09 eV per cell

Lattice parameters (Å, degrees): 5.271 5.271 5.271 90.00 90.00 90.00
Fractional coordinates of all 5 atoms:
Cl: 0.500 0.500 0.500
Hf: 0.000 0.000 0.000
Sm: 0.500 0.500 0.000
Sm: 0.500 0.000 0.500
Sm: 0.000 0.500 0.500



5.
Here is crystalline HfSnCl6 at its relaxed geometry from the Open Quantum Materials Database. Energies are from PBE-GGA.

Summary:
- Crystal system: monoclinic
- Uncorrected energy: -74.70 eV per cell

Lattice parameters (Å, degrees): 6.903 6.903 11.848 90.03 90.03 120.03
Fractional coordinates of all 16 atoms:
Cl: 0.043 0.669 0.130
Cl: 0.330 0.374 0.130
Cl: 0.626 0.957 0.130
Cl: 0.043 0.374 0.370
Cl: 0.626 0.670 0.370
Cl: 0.331 0.957 0.370
Cl: 0.669 0.043 0.630
Cl: 0.374 0.330 0.630
Cl: 0.957 0.626 0.630
Cl: 0.374 0.043 0.870
Cl: 0.670 0.626 0.870
Cl: 0.957 0.331 0.870
Hf: 0.333 0.667 0.250
Hf: 0.667 0.333 0.750
Sn: 0.000 0.000 0.250
Sn: 0.000 0.000 0.750



6.
Here is crystalline HfTe6Cl6 at its relaxed geometry from the Open Quantum Materials Database. Energies are from PBE-GGA.

Summary:
- Crystal system: orthorhombic
- Uncorrected energy: -201.92 eV per cell

Lattice parameters (Å, degrees): 11.230 11.136 13.148 90.00 90.00 90.00
Fractional coordinates of all 52 atoms:
Cl: 0.842 0.413 0.117
Cl: 0.158 0.913 0.117
Cl: 0.638 0.171 0.119
Cl: 0.362 0.671 0.119
Cl: 0.903 0.155 0.250
Cl: 0.578 0.442 0.250
Cl: 0.097 0.655 0.250
Cl: 0.422 0.942 0.250
Cl: 0.638 0.171 0.381
Cl: 0.362 0.671 0.381
Cl: 0.842 0.413 0.383
Cl: 0.158 0.913 0.383
Cl: 0.842 0.087 0.617
Cl: 0.158 0.587 0.617
Cl: 0.638 0.329 0.619
Cl: 0.362 0.829 0.619
Cl: 0.578 0.058 0.750
Cl: 0.903 0.345 0.750
Cl: 0.422 0.558 0.750
Cl: 0.097 0.845 0.750
Cl: 0.638 0.329 0.881
Cl: 0.362 0.829 0.881
Cl: 0.842 0.087 0.883
Cl: 0.158 0.587 0.883
Hf: 0.737 0.294 0.250
Hf: 0.263 0.794 0.250
Hf: 0.737 0.206 0.750
Hf: 0.263 0.706 0.750
Te: 0.023 0.250 0.000
Te: 0.977 0.750 0.000
Te: 0.387 0.132 0.031
Te: 0.613 0.632 0.031
Te: 0.185 0.403 0.098
Te: 0.815 0.903 0.098
Te: 0.274 0.240 0.250
Te: 0.726 0.740 0.250
Te: 0.185 0.403 0.402
Te: 0.815 0.903 0.402
Te: 0.387 0.132 0.469
Te: 0.613 0.632 0.469
Te: 0.023 0.250 0.500
Te: 0.977 0.750 0.500
Te: 0.387 0.368 0.531
Te: 0.613 0.868 0.531
Te: 0.185 0.097 0.598
Te: 0.815 0.597 0.598
Te: 0.274 0.260 0.750
Te: 0.726 0.760 0.750
Te: 0.185 0.097 0.902
Te: 0.815 0.597 0.902
Te: 0.387 0.368 0.969
Te: 0.613 0.868 0.969



7.
Here is crystalline HfTe8Cl6 at its relaxed geometry from the Open Quantum Materials Database. Energies are from PBE-GGA.

Summary:
- Crystal system: triclinic
- Uncorrected energy: -113.49 eV per cell

Lattice parameters (Å, degrees): 7.113 8.858 16.943 103.87 99.36 93.97
Fractional coordinates of all 30 atoms:
Cl: 0.171 0.263 0.016
Cl: 0.308 0.892 0.023
Cl: 0.001 0.059 0.148
Cl: 0.104 0.894 0.369
Cl: 0.669 0.982 0.424
Cl: 0.068 0.270 0.486
Cl: 0.932 0.730 0.514
Cl: 0.331 0.018 0.576
Cl: 0.896 0.106 0.631
Cl: 0.999 0.941 0.852
Cl: 0.692 0.108 0.977
Cl: 0.829 0.737 0.984
Hf: 0.000 0.000 0.000
Hf: 0.000 0.000 0.500
Te: 0.718 0.501 0.109
Te: 0.277 0.705 0.162
Te: 0.550 0.275 0.176
Te: 0.204 0.449 0.225
Te: 0.661 0.754 0.229
Te: 0.773 0.336 0.330
Te: 0.352 0.579 0.394
Te: 0.456 0.287 0.402
Te: 0.544 0.713 0.598
Te: 0.648 0.421 0.606
Te: 0.227 0.664 0.670
Te: 0.339 0.246 0.771
Te: 0.796 0.551 0.775
Te: 0.450 0.725 0.824
Te: 0.723 0.295 0.838
Te: 0.282 0.499 0.891



8.
Here is crystalline HfTl2Cl6 at its relaxed geometry from the Open Quantum Materials Database. Energies are from PBE-GGA.

Summary:
- Crystal system: tetragonal
- Uncorrected energy: -78.81 eV per cell

Lattice parameters (Å, degrees): 6.917 6.917 13.151 90.00 90.00 90.00
Fractional coordinates of all 18 atoms:
Cl: 0.749 0.251 0.000
Cl: 0.251 0.749 0.000
Cl: 0.176 0.176 0.134
Cl: 0.824 0.824 0.134
Cl: 0.676 0.324 0.366
Cl: 0.324 0.676 0.366
Cl: 0.249 0.249 0.500
Cl: 0.751 0.751 0.500
Cl: 0.676 0.324 0.634
Cl: 0.324 0.676 0.634
Cl: 0.176 0.176 0.866
Cl: 0.824 0.824 0.866
Hf: 0.000 0.000 0.000
Hf: 0.500 0.500 0.500
Tl: 0.500 0.500 0.165
Tl: 0.000 0.000 0.335
Tl: 0.000 0.000 0.665
Tl: 0.500 0.500 0.835



9.
Here is crystalline HgCl at its relaxed geometry from the Open Quantum Materials Database. Energies are from PBE-GGA.

Summary:
- Crystal system: tetragonal
- Uncorrected energy: -6.46 eV per cell
- Energy relative to the lowest polymorph listed for this composition: 0 meV per atom

Lattice parameters (Å, degrees): 6.409 6.409 6.409 137.60 137.60 61.51
Fractional coordinates of all 4 atoms:
Cl: 0.341 0.341 0.000
Cl: 0.659 0.659 0.000
Hg: 0.118 0.118 0.000
Hg: 0.882 0.882 0.000



10.
Here is crystalline HgCl at its relaxed geometry from the Open Quantum Materials Database. Energies are from PBE-GGA.

Summary:
- Crystal system: cubic
- Uncorrected energy: -2.56 eV per cell
- Energy relative to the lowest polymorph listed for this composition: 334 meV per atom

Lattice parameters (Å, degrees): 4.248 4.248 4.248 60.00 60.00 60.00
Fractional coordinates of all 2 atoms:
Cl: 0.000 0.000 0.000
Hg: 0.500 0.500 0.500



11.
Here is crystalline HgCl2 at its relaxed geometry from the Open Quantum Materials Database. Energies are from PBE-GGA.

Summary:
- Crystal system: tetragonal
- Uncorrected energy: -11.22 eV per cell

Lattice parameters (Å, degrees): 6.578 6.578 3.926 90.00 90.00 90.00
Fractional coordinates of all 6 atoms:
Cl: 0.311 0.311 0.000
Cl: 0.689 0.689 0.000
Cl: 0.811 0.189 0.500
Cl: 0.189 0.811 0.500
Hg: 0.000 0.000 0.000
Hg: 0.500 0.500 0.500



12.
Here is crystalline HgCl2 at its relaxed geometry from the Open Quantum Materials Database. Energies are from PBE-GGA.

Summary:
- Crystal system: tetragonal
- Uncorrected energy: -23.09 eV per cell

Lattice parameters (Å, degrees): 6.178 6.178 9.725 90.00 90.00 90.00
Fractional coordinates of all 12 atoms:
Cl: 0.722 0.283 0.008
Cl: 0.778 0.783 0.242
Cl: 0.217 0.222 0.258
Cl: 0.717 0.278 0.492
Cl: 0.278 0.717 0.508
Cl: 0.222 0.217 0.742
Cl: 0.783 0.778 0.758
Cl: 0.283 0.722 0.992
Hg: 0.796 0.796 0.000
Hg: 0.704 0.296 0.250
Hg: 0.204 0.204 0.500
Hg: 0.296 0.704 0.750